Record 1
10
Lattice="9.288 0.000 0.008 0.000 3.483 0.000 -1.256 0.000 5.793" Properties=species:S:1:pos:R:3 comment="GeP2IrS (PBE, relaxed)" relative_energy_ev_per_atom=0.036 e_form_raw_kj_per_mol_atoms=-7.86 spacegroup="Cm (8)" pbc="T T T"
S 2.043 1.741 4.221
Ir 7.897 1.741 1.479
S 2.671 0.000 1.325
Ir 7.269 0.000 4.376
P -0.920 1.741 5.601
P 6.349 0.000 2.141
P -0.292 0.000 2.704
Ge 3.195 0.000 5.479
Ge 3.823 1.741 2.582
P 5.721 1.741 5.038



Record 2
5
Lattice="-2.676 3.548 0.504 -3.500 -2.454 -1.315 -0.898 -1.384 4.973" Properties=species:S:1:pos:R:3 comment="GeP2IrS (PBE, relaxed)" relative_energy_ev_per_atom=0.735 e_form_raw_kj_per_mol_atoms=59.58 spacegroup="P4/mmm (123)" pbc="T T T"
P -1.338 1.774 0.252
P -1.750 -1.227 -0.658
S -0.449 -0.692 2.487
Ir 0.000 0.000 0.000
Ge -3.537 -0.145 2.081



Record 3
5
Lattice="-3.299 -1.155 0.497 2.085 -0.125 3.559 -1.837 7.730 0.967" Properties=species:S:1:pos:R:3 comment="GeP2IrS (PBE, relaxed)" relative_energy_ev_per_atom=0.043 e_form_raw_kj_per_mol_atoms=-7.25 spacegroup="P1 (1)" pbc="T T T"
Ir -0.117 4.886 4.357
P -1.056 6.212 2.612
P -3.172 6.729 2.207
S 0.288 2.777 3.086
Ge -1.874 3.521 2.777



Record 4
5
Lattice="-2.730 -0.596 -1.745 1.012 -1.274 -3.225 -0.355 -7.580 2.444" Properties=species:S:1:pos:R:3 comment="GeP2IrS (PBE, relaxed)" relative_energy_ev_per_atom=0.104 e_form_raw_kj_per_mol_atoms=-1.38 spacegroup="P1 (1)" pbc="T T T"
P -2.205 -7.630 -0.333
Ir -1.863 -6.898 -2.564
Ge -0.721 -4.500 0.004
P -0.246 -1.248 -1.821
S -1.480 -2.384 -0.525



Record 5
10
Lattice="-4.898 4.602 3.416 -1.627 -2.551 1.104 6.501 -2.149 4.617" Properties=species:S:1:pos:R:3 comment="GeP2IrS (PBE, relaxed)" relative_energy_ev_per_atom=0.205 e_form_raw_kj_per_mol_atoms=8.41 spacegroup="Cm (8)" pbc="T T T"
Ge 1.347 -0.505 5.518
S -1.090 2.887 5.064
P -2.740 3.377 3.766
Ir 2.981 -0.324 3.645
Ir -1.083 -0.526 1.889
S 1.346 0.537 7.924
P 3.657 -2.259 4.869
P 1.221 0.090 2.009
P -0.303 1.027 6.627
Ge -1.090 1.845 2.658



Record 6
10
Lattice="-7.294 0.641 -0.142 -0.322 -3.310 1.599 1.849 2.883 6.342" Properties=species:S:1:pos:R:3 comment="GeP2IrS (PBE, relaxed)" relative_energy_ev_per_atom=0.049 e_form_raw_kj_per_mol_atoms=-6.61 spacegroup="Cm (8)" pbc="T T T"
Ge -2.845 0.903 5.556
P -4.887 2.566 4.327
Ge -3.609 1.117 1.586
S -1.732 0.373 0.423
P 0.849 0.458 5.378
S -0.968 0.159 4.394
Ir -4.594 0.208 3.764
P 0.085 0.672 1.408
Ir -3.509 3.305 6.135
P -5.972 -0.531 1.956



Record 7
10
Lattice="2.942 0.000 0.000 0.000 3.263 0.000 -2.867 0.000 20.587" Properties=species:S:1:pos:R:3 comment="GeP2IrS (PBE, relaxed)" relative_energy_ev_per_atom=0.091 e_form_raw_kj_per_mol_atoms=-2.58 spacegroup="Cm (8)" pbc="T T T"
S 1.425 1.631 3.625
Ir -0.045 0.000 7.194
P 2.859 0.000 0.158
Ir -1.478 1.631 17.488
S -0.008 0.000 13.918
Ge 1.427 0.000 5.183
P 1.426 1.631 10.452
P 1.426 0.000 8.956
Ge -0.006 1.631 15.476
P -0.007 1.631 19.250



Record 8
5
Lattice="-2.287 -2.595 -1.223 1.305 -2.140 -3.484 3.029 -4.203 3.340" Properties=species:S:1:pos:R:3 comment="GeP2IrS (PBE, relaxed)" relative_energy_ev_per_atom=0.180 e_form_raw_kj_per_mol_atoms=5.95 spacegroup="P1 (1)" pbc="T T T"
S 1.807 -5.476 1.497
P 1.568 -6.794 -0.797
P -0.509 -4.139 -2.560
Ge 2.053 -4.301 -1.536
Ir -0.047 -2.867 -0.620



Record 9
5
Lattice="-1.800 -1.131 2.734 0.987 -2.225 -2.464 7.785 -1.527 4.496" Properties=species:S:1:pos:R:3 comment="GeP2IrS (PBE, relaxed)" relative_energy_ev_per_atom=0.034 e_form_raw_kj_per_mol_atoms=-8.09 spacegroup="P3m1 (156)" pbc="T T T"
S 4.451 -2.539 4.075
P 7.592 -3.338 3.620
P 2.108 -2.262 0.453
Ge 4.144 -0.813 2.393
Ir 0.876 -0.172 0.506



Record 10
10
Lattice="8.715 0.000 0.092 0.000 3.264 0.000 -2.258 0.000 6.294" Properties=species:S:1:pos:R:3 comment="GeP2IrS (PBE, relaxed)" relative_energy_ev_per_atom=0.165 e_form_raw_kj_per_mol_atoms=4.53 spacegroup="Cm (8)" pbc="T T T"
P 1.034 0.000 0.860
Ir 2.531 1.632 0.108
Ir 1.402 0.000 3.255
P 5.949 0.000 5.573
Ge 2.453 1.632 5.025
P 7.078 1.632 2.426
P -0.095 1.632 4.007
S 4.023 0.000 6.289
S 5.152 1.632 3.142
Ge 3.582 0.000 1.878



Record 11
5
Lattice="3.365 0.019 0.007 1.668 3.954 0.000 1.687 0.319 8.784" Properties=species:S:1:pos:R:3 comment="GeP2IrS (PBE, relaxed)" relative_energy_ev_per_atom=0.000 e_form_raw_kj_per_mol_atoms=-11.38 spacegroup="P1 (1)" pbc="T T T"
P 2.013 2.344 1.709
S 5.371 2.648 5.525
Ir 3.683 3.996 1.933
P 2.005 3.766 0.149
Ge 3.687 3.754 4.403



Record 12
10
Lattice="6.729 0.000 -0.010 0.000 3.844 0.000 -0.270 0.000 7.535" Properties=species:S:1:pos:R:3 comment="GeP2IrS (PBE, relaxed)" relative_energy_ev_per_atom=0.036 e_form_raw_kj_per_mol_atoms=-7.94 spacegroup="Cm (8)" pbc="T T T"
S 1.881 1.922 1.995
P 0.033 0.000 4.547
P 5.065 0.000 6.000
S 1.746 0.000 5.763
Ge 3.542 1.922 0.247
Ge 3.407 0.000 4.015
P 5.200 1.922 2.233
P 0.167 1.922 0.779
Ir 5.276 1.922 4.539
Ir 5.411 0.000 0.771



Record 13
5
Lattice="-0.766 -1.728 -2.942 4.145 -0.880 -0.925 -0.298 -5.756 2.067" Properties=species:S:1:pos:R:3 comment="GeP2IrS (PBE, relaxed)" relative_energy_ev_per_atom=0.079 e_form_raw_kj_per_mol_atoms=-3.77 spacegroup="P1 (1)" pbc="T T T"
S 0.316 -3.757 -1.377
Ir 3.074 -6.564 -1.885
P 0.835 -7.034 -0.925
Ge 2.335 -3.119 -0.144
P 2.550 -6.763 0.479



Record 14
20
Lattice="-3.661 0.465 -4.004 -5.250 -4.244 4.308 -2.986 7.328 3.581" Properties=species:S:1:pos:R:3 comment="Sm2GePIr6 (PBE, relaxed)" e_form_kj_per_mol_fu=-472.4 spacegroup="Pmmn (59)" pbc="T T T"
Ir -6.989 1.638 6.581
Sm -2.190 0.493 2.060
Ir -5.508 -1.998 4.805
P -4.636 2.836 0.865
Ir -6.767 2.001 0.796
P -3.938 -3.183 3.232
Sm -6.383 -0.841 2.037
Ge -3.203 -0.877 -0.876
Ir -7.853 -3.812 1.253
Ir -3.066 1.651 -0.708
Ir -4.570 5.343 1.096
Ir -6.090 -4.035 3.181
Ir -4.382 3.929 -1.160
Ge -5.370 0.530 4.972
Ir -4.867 1.760 2.874
Ir -3.706 -2.108 1.223
Sm -3.788 4.416 3.977
Ir -5.468 -1.884 -0.703
Ir -2.483 3.688 0.916
Sm -7.771 2.565 3.701



Record 15
10
Lattice="-2.901 -2.530 -1.558 2.970 -2.533 -1.416 -0.212 -5.102 8.679" Properties=species:S:1:pos:R:3 comment="Th2GeP3Ir4 (PBE, relaxed)" e_form_kj_per_mol_fu=-927.8 spacegroup="P-4m2 (115)" pbc="T T T"
Ir 0.000 0.000 0.000
P 1.456 -1.968 0.485
Ge -0.071 -5.082 2.852
Th 1.326 -5.104 5.819
Ir 1.407 -3.156 2.507
Ir -1.584 -4.477 4.685
P -0.106 -2.551 4.339
P -1.633 -5.666 6.706
Th -1.503 -2.530 1.372
Ir 0.035 -2.532 -1.487



Record 16
15
Lattice="5.735 0.000 0.000 -2.868 4.967 0.000 0.000 0.000 10.181" Properties=species:S:1:pos:R:3 comment="Th3GeP2Ir9 (PBE, relaxed)" e_form_kj_per_mol_fu=-810.8 spacegroup="P-3m1 (164)" pbc="T T T"
Th 2.868 1.656 4.129
Th 0.000 3.311 6.051
Ir 2.868 0.000 0.000
Ir -1.473 4.162 3.155
Ir 2.868 3.357 7.026
Ir 0.000 1.610 3.155
Ir -1.434 2.483 0.000
Ir 1.434 2.483 0.000
Ir 1.394 0.805 7.026
Th 0.000 0.000 0.000
P 0.000 3.311 1.627
Ge 0.000 0.000 5.090
Ir 4.341 0.805 7.026
P 2.868 1.656 8.554
Ir 1.473 4.162 3.155



Record 17
20
Lattice="5.575 0.000 0.000 0.000 7.931 0.000 0.000 0.000 8.611" Properties=species:S:1:pos:R:3 comment="Th2GePIr6 (PBE, relaxed)" e_form_kj_per_mol_fu=-650.5 spacegroup="Pmmn (59)" pbc="T T T"
Ir 0.000 7.072 2.152
Ir 4.164 4.192 0.000
Ir 1.411 7.919 0.000
Ir 4.198 0.012 4.305
Ir 1.411 4.192 0.000
Ge 2.787 2.148 0.000
Th 0.000 2.170 6.550
Ir 2.787 0.859 2.154
Ir 0.000 7.072 6.459
Ir 2.787 0.859 6.457
Th 2.787 5.761 2.245
Ge 0.000 5.783 4.305
Ir 4.164 7.919 0.000
Ir 1.377 0.012 4.305
Th 2.787 5.761 6.366
Ir 1.376 3.739 4.305
Ir 4.199 3.739 4.305
P 0.000 6.017 0.000
Th 0.000 2.170 2.061
P 2.787 1.914 4.305



Record 18
15
Lattice="5.605 0.000 0.000 -2.802 4.854 0.000 0.000 0.000 10.245" Properties=species:S:1:pos:R:3 comment="Tm3GeP2Ir9 (PBE, relaxed)" e_form_kj_per_mol_fu=-593.2 spacegroup="P-3m1 (164)" pbc="T T T"
Ge 0.000 0.000 5.123
Ir 2.802 0.000 0.000
P 2.802 1.618 8.597
Ir -1.451 4.074 3.177
Ir 1.351 0.780 7.068
Ir 2.802 3.293 7.068
Tm 0.000 0.000 0.000
Ir 0.000 1.560 3.177
Ir -1.401 2.427 0.000
Tm 0.000 3.236 5.925
Ir 1.451 4.074 3.177
Ir 1.401 2.427 0.000
Ir 4.253 0.780 7.068
Tm 2.802 1.618 4.320
P 0.000 3.236 1.649



Record 19
12
Lattice="3.889 0.025 -0.096 0.030 3.889 -0.096 1.486 1.484 14.074" Properties=species:S:1:pos:R:3 comment="UGe2P2Ir7 (PBE, relaxed)" e_form_kj_per_mol_fu=-342.4 spacegroup="C2/m (12)" pbc="T T T"
U 0.000 0.000 0.000
Ge 1.493 1.491 8.067
P 2.043 2.041 3.389
Ir 3.378 1.446 11.932
Ir 1.960 1.957 -0.096
Ir 1.450 3.377 11.932
Ir 3.956 2.022 1.948
Ir 2.027 3.953 1.948
Ge 3.912 3.908 5.814
Ir 2.187 2.184 5.662
P 3.362 3.358 10.492
Ir 3.219 3.215 8.219



Record 20
5
Lattice="4.412 0.000 0.000 0.000 4.412 0.000 0.000 0.000 4.684" Properties=species:S:1:pos:R:3 comment="VGeP2Ir (PBE, relaxed)" e_form_kj_per_mol_fu=413.6 spacegroup="P4/mmm (123)" pbc="T T T"
V 0.000 0.000 0.000
P 2.206 0.000 0.000
Ge 0.000 0.000 2.342
Ir 2.206 2.206 2.342
P 0.000 2.206 0.000



Short version: DOS at the Fermi energy = 1.8, 3.0, 0.8, 1.7, 1.9, 1.4, 1.2, 1.5, 2.2, 1.9, 1.2, 1.9, 1.6, 6.2, 2.3, 5.4, 4.3, 9.9, 8.5, 4.8 states/eV/f.u., in the order given.
Short version: total magnetic moment = 0.00, 0.00, 0.00, 0.00, 0.00, 0.00, 0.00, 0.00, 0.00, 0.00, 0.00, 0.00, 0.00, 0.00, 0.00, 0.00, 0.00, 0.00, 0.00, 0.99 μB per cell, in the order given.